1.
The following is a DFT calculation (SCAN) of a PBEsol-optimized structure of RbY2F.

Properties
- Uncorrected formation energy: 0.344 eV/atom

a = 7.719 Å, b = 7.719 Å, c = 7.719 Å
α = 90.00°, β = 90.00°, γ = 90.00°
Space group Fm-3m (No. 225)
Asymmetric unit:
Rb  0.000  0.000  0.000
Y  0.250  0.250  0.250
F  0.000  0.000  0.500

***

2.
The following is a DFT calculation (SCAN) of a PBEsol-optimized structure of TcIrRh2.

Properties
- Energy above the most stable polymorph in this dataset: 22 meV per atom
- Energy of formation: -115 meV per atom

a = 3.800 Å, b = 3.800 Å, c = 7.572 Å
α = 90.00°, β = 90.00°, γ = 90.00°
Space group I-4m2 (No. 119)
Asymmetric unit:
Tc  0.000  0.000  0.000
Ir  0.000  0.500  0.250
Rh  0.000  0.000  0.500
Rh  0.000  0.500  0.750

***

Number 1 is which compound? RbY2F